No. 1
Sr2Zn2Sn | PBE | relaxed

Results
Symmetry ... P4/mbm, No. 127
Total magnetization ... 0.00 μB per cell
ΔH_f (0 K) ... -340 meV per atom

a = 7.5561 Å, b = 7.5561 Å, c = 4.9335 Å
α = 90.00°, β = 90.00°, γ = 90.00°
Sites, in units of the cell vectors:
Sr (0.1882, 0.6882, 0.5000)
Sr (0.6882, 0.8118, 0.5000)
Sr (0.8118, 0.3118, 0.5000)
Sr (0.3118, 0.1882, 0.5000)
Zn (0.3842, 0.8842, 0.0000)
Zn (0.8842, 0.6158, 0.0000)
Zn (0.6158, 0.1158, 0.0000)
Zn (0.1158, 0.3842, 0.0000)
Sn (0.0000, 0.0000, 0.0000)
Sn (0.5000, 0.5000, 0.0000)

***

No. 2
Sr2Zn2Sn | PBE | relaxed

Results
Symmetry ... C2/m, No. 12
Total magnetization ... 0.00 μB per cell
ΔH_f (0 K) ... -389 meV per atom

a = 4.7655 Å, b = 6.2585 Å, c = 10.7674 Å
α = 87.03°, β = 77.22°, γ = 67.62°
Sites, in units of the cell vectors:
Sr (0.6801, 0.2992, 0.3406)
Sr (0.9124, 0.2846, 0.8906)
Sr (0.3199, 0.7008, 0.6594)
Sr (0.0876, 0.7154, 0.1094)
Zn (0.0805, 0.2868, 0.5521)
Zn (0.6160, 0.8759, 0.8922)
Zn (0.9195, 0.7132, 0.4479)
Zn (0.3840, 0.1241, 0.1078)
Sn (0.6143, 0.1115, 0.6599)
Sn (0.3857, 0.8885, 0.3401)

***

No. 3
Sr4Zn2Sn5 | PBE | relaxed

Results
Symmetry ... P2/m, No. 10
Total magnetization ... 0.00 μB per cell
ΔH_f (0 K) ... -386 meV per atom

a = 3.7751 Å, b = 8.2028 Å, c = 10.5063 Å
α = 92.33°, β = 90.00°, γ = 90.00°
Sites, in units of the cell vectors:
Sr (0.5000, 0.7205, 0.5677)
Sr (0.5000, 0.1723, 0.8866)
Sr (0.5000, 0.2795, 0.4323)
Sr (0.5000, 0.8277, 0.1134)
Zn (0.0000, 0.0543, 0.6221)
Zn (0.0000, 0.9457, 0.3779)
Sn (0.0000, 0.5905, 0.3024)
Sn (0.0000, 0.1812, 0.1698)
Sn (0.0000, 0.5000, 0.0000)
Sn (0.0000, 0.8188, 0.8302)
Sn (0.0000, 0.4095, 0.6976)

***

No. 4
Sr2ZnSn2 | PBE | relaxed

Results
Symmetry ... P4/mbm, No. 127
Total magnetization ... 0.50 μB per cell
ΔH_f (0 K) ... -433 meV per atom

a = 7.7504 Å, b = 7.7504 Å, c = 5.1444 Å
α = 90.00°, β = 90.00°, γ = 90.00°
Sites, in units of the cell vectors:
Sr (0.1679, 0.6679, 0.5000)
Sr (0.6679, 0.8321, 0.5000)
Sr (0.8321, 0.3321, 0.5000)
Sr (0.3321, 0.1679, 0.5000)
Zn (0.0000, 0.0000, 0.0000)
Zn (0.5000, 0.5000, 0.0000)
Sn (0.3615, 0.8615, 0.0000)
Sn (0.8615, 0.6385, 0.0000)
Sn (0.6385, 0.1385, 0.0000)
Sn (0.1385, 0.3615, 0.0000)

***

No. 5
Sr2ZnSn | PBE | relaxed

Results
Symmetry ... R-3m, No. 166
Total magnetization ... 0.00 μB per cell
ΔH_f (0 K) ... 130 meV per atom

a = 4.0095 Å, b = 4.0095 Å, c = 11.4126 Å
α = 79.88°, β = 79.88°, γ = 60.00°
Sites, in units of the cell vectors:
Sr (0.0988, 0.0988, 0.7036)
Sr (0.9012, 0.9012, 0.2964)
Zn (0.5000, 0.5000, 0.5000)
Sn (0.0000, 0.0000, 0.0000)

***

No. 6
SrZr3Sn | PBE | relaxed

Results
Symmetry ... Pm-3m, No. 221
Total magnetization ... 1.47 μB per cell
ΔH_f (0 K) ... 1631 meV per atom

a = 5.1481 Å, b = 5.1481 Å, c = 5.1481 Å
α = 90.00°, β = 90.00°, γ = 90.00°
Sites, in units of the cell vectors:
Sr (0.0000, 0.0000, 0.0000)
Sn (0.5000, 0.5000, 0.5000)
Zr (0.0000, 0.5000, 0.0000)
Zr (0.0000, 0.0000, 0.5000)
Zr (0.5000, 0.0000, 0.0000)

***

Number 1: uncorrected energy -2.32 eV/atom. Number 2: uncorrected energy -2.37 eV/atom. Number 3: uncorrected energy -3.05 eV/atom. Number 4: uncorrected energy -2.96 eV/atom. Number 5: uncorrected energy -2.03 eV/atom. Number 6: uncorrected energy -4.63 eV/atom.